# 1
A plane-wave DFT calculation with GGA-PBE was carried out for In2FeSi after structural relaxation.

Properties
Its formation energy without anion corrections is 0.510 eV/atom.

Lattice parameters (Å, degrees): 4.8235 3.1309 5.5739 90.00 113.35 90.00
With the nearest neighbours (Å) after each atom.
Space group P2/m (No. 10)
One atom of each set of equivalent atoms:
In 0.0000 0.0000 0.0000 x1  2 Fe 2.87, 4 Si 2.88, 6 In 3.13-3.20
In 0.0000 0.5000 0.5000 x1  2 Si 2.87, 4 Fe 2.88, 6 In 3.13-3.20
Fe 0.5000 0.0000 0.5000 x1  6 In 2.87-2.88, 2 Fe 3.13, 4 Si 3.20
Si 0.5000 0.5000 0.0000 x1  6 In 2.87-2.88, 2 Si 3.13, 4 Fe 3.20

# 2
A plane-wave DFT calculation with GGA-PBE was carried out for AlSiPt2 after structural relaxation.

Properties
Its formation energy without anion corrections is -0.382 eV/atom.

Lattice parameters (Å, degrees): 2.9363 2.9363 24.7681 90.00 90.00 120.00
With the nearest neighbours (Å) after each atom.
Space group R3m (No. 160, hexagonal axes)
One atom of each set of equivalent atoms:
Al 0.0000 0.0000 0.0000 x3  3 Pt 2.53, 3 Si 2.75
Si 0.0000 0.0000 0.7541 x3  3 Pt 2.44
Pt 0.0000 0.0000 0.2574 x3  3 Al 2.53
Pt 0.0000 0.0000 0.4913 x3  3 Si 2.44

# 3
A plane-wave DFT calculation with GGA-PBE was carried out for Y2IrBr after structural relaxation.

Properties
The energy above the most stable polymorph in this dataset comes out at 0 meV/atom. Its formation energy without anion corrections is -1.085 eV/atom.

Lattice parameters (Å, degrees): 7.1356 4.1192 7.8942 90.00 90.68 90.00
With the nearest neighbours (Å) after each atom.
Space group Cm (No. 8)
One atom of each set of equivalent atoms:
Y 0.0000 0.0000 0.0000 x2  3 Ir 2.74-2.75, 1 Br 2.97
Y 0.1712 0.5000 0.3606 x2  3 Ir 2.80
Ir 0.3353 0.0000 0.1741 x2  6 Y 2.74-2.80
Br 0.0072 0.0000 0.6234 x2  4 Y 2.97-3.16

# 4
A plane-wave DFT calculation with GGA-PBE was carried out for Ca2HfCd after structural relaxation.

Properties
Its energy relative to the elements is 0.4067 eV/atom.

Lattice parameters (Å, degrees): 3.3496 3.3496 35.6130 90.00 90.00 120.00
With the nearest neighbours (Å) after each atom.
Space group R-3m (No. 166, hexagonal axes)
One atom of each set of equivalent atoms:
Ca 0.0000 0.0000 0.0907 x6  1 Hf 3.23, 3 Cd 3.33, 6 Ca 3.35
Hf 0.0000 0.0000 0.0000 x3  2 Ca 3.23, 6 Hf 3.35
Cd 0.0000 0.0000 0.5000 x3  6 Ca 3.33, 6 Cd 3.35

# 5
A plane-wave DFT calculation with GGA-PBE was carried out for ZrTc2 after structural relaxation.

Properties
The energy above the most stable polymorph in this dataset comes out at 441 meV/atom. Its energy relative to the elements is 0.1289 eV/atom.

Lattice parameters (Å, degrees): 4.4850 4.4850 2.9868 90.00 90.00 120.00
With the nearest neighbours (Å) after each atom.
Space group P6/mmm (No. 191)
One atom of each set of equivalent atoms:
Zr 0.0000 0.0000 0.0000 x1  2 Zr 2.99, 12 Tc 2.99
Tc 0.3333 0.6667 0.5000 x2  3 Tc 2.59

# 6
A plane-wave DFT calculation with GGA-PBE was carried out for Na8B13C3 after structural relaxation.

Properties
The energy above the most stable polymorph in this dataset comes out at 9 meV/atom. Its energy relative to the elements is 0.1905 eV/atom.

Lattice parameters (Å, degrees): 2.8029 34.6824 5.3236 90.00 90.00 90.00
With the nearest neighbours (Å) after each atom.
Space group Imm2 (No. 44)
One atom of each set of equivalent atoms:
Na 0.0000 0.0622 0.0000 x4  10 B 2.70-2.90, 6 Na 2.80-3.01, 2 C 2.81
Na 0.0000 0.1870 0.9998 x4  11 B 2.71-2.91, 6 Na 2.80-3.01, 1 C 2.82
Na 0.0000 0.3126 0.9991 x4  10 B 2.69-2.87, 2 C 2.73, 6 Na 2.80-3.01
Na 0.0000 0.4378 0.0000 x4  8 B 2.67-2.85, 4 C 2.71, 2 Na 2.80
B 0.0000 0.0000 0.3646 x2  1 C 1.58
B 0.0000 0.1245 0.6351 x4  1 C 1.58
B 0.0000 0.2496 0.3446 x4  3 B 1.65-1.73
B 0.0000 0.2506 0.6541 x4  3 B 1.65-1.73
B 0.0000 0.3756 0.3483 x4  3 B 1.78-1.80
B 0.0000 0.3756 0.6820 x4  2 C 1.63, 1 B 1.78
B 0.0000 0.5000 0.3180 x2  2 C 1.63, 1 B 1.77
B 0.0000 0.5000 0.6513 x2  3 B 1.77-1.80
C 0.0000 0.0000 0.6613 x2  3 B 1.58-1.63
C 0.0000 0.1244 0.3383 x4  3 B 1.58-1.63